DFT (PBEsol) results for an optimized crystal structure of K2CdSn. Values from VASP.

Calculated values
VASP energy = -2.1384 eV/atom
Space-group type = Cmcm
Energy of formation = -0.8 eV per formula unit

Cell and atoms, written as Quantum ESPRESSO input:
```
&SYSTEM
  ibrav = 0, nat = 8, ntyp = 3
/
ATOMIC_SPECIES
K 39.10 K.upf
Sn 118.71 Sn.upf
Cd 112.41 Cd.upf
CELL_PARAMETERS angstrom
6.3476 0.0000 0.0000
0.0000 6.8387 -0.0020
0.0000 1.6263 6.6425
ATOMIC_POSITIONS crystal
K 0.2500 0.5288 0.8178
K 0.7500 0.8178 0.5288
K 0.2500 0.1822 0.4712
K 0.7500 0.4712 0.1822
Sn 0.2500 0.7315 0.2685
Sn 0.7500 0.2685 0.7315
Cd 0.0000 0.0000 0.0000
Cd 0.5000 0.0000 0.0000
```

=====

DFT (PBEsol) results for an optimized crystal structure of FeCoIr2. Values from VASP.

Calculated values
VASP energy = -9.0868 eV/atom
Space-group type = Cm
Energy of formation = 0.0 eV per formula unit

Cell and atoms, written as Quantum ESPRESSO input:
```
&SYSTEM
  ibrav = 0, nat = 4, ntyp = 3
/
ATOMIC_SPECIES
Ir 192.22 Ir.upf
Co 58.93 Co.upf
Fe 55.84 Fe.upf
CELL_PARAMETERS angstrom
-1.4897 -2.0488 -0.7502
3.2579 -1.4104 -2.6171
1.7050 -1.0182 4.0467
ATOMIC_POSITIONS crystal
Ir 0.0019 0.0065 0.0038
Ir 0.2480 0.7427 0.4961
Co 0.4974 0.4943 0.9949
Fe 0.7526 0.2565 0.5053
```

=====

DFT (PBEsol) results for an optimized crystal structure of AsRh3. Values from VASP.

Calculated values
VASP energy = -7.2526 eV/atom
Space-group type = R-3m
Energy of formation = 0.5 eV per formula unit

Cell and atoms, written as Quantum ESPRESSO input:
```
&SYSTEM
  ibrav = 0, nat = 4, ntyp = 2
/
ATOMIC_SPECIES
As 74.92 As.upf
Rh 102.91 Rh.upf
CELL_PARAMETERS angstrom
2.7837 0.0000 0.0000
-0.9279 4.8465 0.0000
-0.9279 -2.4232 4.1972
ATOMIC_POSITIONS crystal
As 0.0000 0.0000 0.0000
Rh 0.5000 0.5000 0.0000
Rh 0.0000 0.5000 0.5000
Rh 0.5000 0.0000 0.5000
```

=====

DFT (PBEsol) results for an optimized crystal structure of LiHgPt2. Values from VASP.

Calculated values
VASP energy = -4.4237 eV/atom
Space-group type = I4/mmm
Energy of formation = -1.2 eV per formula unit

Cell and atoms, written as Quantum ESPRESSO input:
```
&SYSTEM
  ibrav = 0, nat = 4, ntyp = 3
/
ATOMIC_SPECIES
Hg 200.59 Hg.upf
Pt 195.08 Pt.upf
Li 6.94 Li.upf
CELL_PARAMETERS angstrom
3.9020 0.0000 0.0000
0.0000 3.9020 0.0000
-1.9510 -1.9510 4.0644
ATOMIC_POSITIONS crystal
Hg 0.5000 0.5000 0.0000
Pt 0.7500 0.2500 0.5000
Pt 0.2500 0.7500 0.5000
Li 0.0000 0.0000 0.0000
```

=====

DFT (PBEsol) results for an optimized crystal structure of CaAg2P. Values from VASP.

Calculated values
VASP energy = -3.9470 eV/atom
Space-group type = Amm2
Energy of formation = -1.2 eV per formula unit

Cell and atoms, written as Quantum ESPRESSO input:
```
&SYSTEM
  ibrav = 0, nat = 4, ntyp = 3
/
ATOMIC_SPECIES
Ag 107.87 Ag.upf
Ca 40.08 Ca.upf
P 30.97 P.upf
CELL_PARAMETERS angstrom
3.8407 0.0000 0.0000
0.0000 4.0603 0.0000
0.0000 -2.0301 5.0572
ATOMIC_POSITIONS crystal
Ag 0.0000 0.8032 0.6063
Ag 0.5000 0.2225 0.4450
Ca 0.0000 0.5193 0.0386
P 0.5000 0.9620 0.9240
```

=====

DFT (PBEsol) results for an optimized crystal structure of NbZnIrSe2. Values from VASP.

Calculated values
VASP energy = -5.0978 eV/atom
Raw formation energy = 4.44 eV per formula unit
Space-group type = P4/mmm

Cell and atoms, written as Quantum ESPRESSO input:
```
&SYSTEM
  ibrav = 0, nat = 5, ntyp = 4
/
ATOMIC_SPECIES
Nb 92.91 Nb.upf
Ir 192.22 Ir.upf
Zn 65.41 Zn.upf
Se 78.96 Se.upf
CELL_PARAMETERS angstrom
4.8172 0.0000 0.0000
0.0000 4.8172 0.0000
0.0000 0.0000 4.9608
ATOMIC_POSITIONS crystal
Nb 0.0000 0.0000 0.5000
Ir 0.0000 0.0000 0.0000
Zn 0.5000 0.5000 0.5000
Se 0.0000 0.5000 0.0000
Se 0.5000 0.0000 0.0000
```

=====

Number 1: total magnetization 0.0 μB/f.u., V 288 Å³/cell. Number 2: total magnetization 2.8 μB/f.u., V 49 Å³/cell. Number 3: total magnetization 0.0 μB/f.u., V 57 Å³/cell. Number 4: total magnetization 0.0 μB/f.u., V 62 Å³/cell. Number 5: total magnetization 0.0 μB/f.u., V 79 Å³/cell. Number 6: total magnetization 1.6 μB/f.u., V 115 Å³/cell.